[1]
A plane-wave DFT calculation with PBE was carried out for crystalline Pr2PtRh3 at its relaxed geometry.

abc: 5.471 5.471 5.453
angles: 89.98 120.13 120.01
Sites, in units of the cell vectors:
Rh1 0.500 0.000 0.500
Rh2 0.500 0.500 0.500
Rh3 0.000 0.000 0.500
Pt1 0.000 0.000 0.000
Pr1 0.249 0.624 0.873
Pr2 0.751 0.376 0.127

Summary:
formation energy = -0.755 eV/atom
symmetry = No. 166



[2]
A plane-wave DFT calculation with PBE was carried out for crystalline Pr5Pt2Rh2 at its relaxed geometry.

abc: 7.835 7.775 8.544
angles: 90.00 62.71 90.00
Sites, in units of the cell vectors:
Pr1 0.963 0.334 0.727
Pr2 0.191 0.166 0.273
Pr3 0.309 0.666 0.727
Pr4 0.000 0.000 0.000
Pr5 0.537 0.834 0.273
Pr6 0.809 0.834 0.727
Pr7 0.463 0.166 0.727
Pr8 0.500 0.500 0.000
Pr9 0.691 0.334 0.273
Pr10 0.037 0.666 0.273
Rh1 0.870 0.628 0.000
Rh2 0.370 0.872 0.000
Rh3 0.630 0.128 0.000
Rh4 0.130 0.372 0.000
Pt1 0.797 0.000 0.405
Pt2 0.703 0.500 0.595
Pt3 0.203 0.000 0.595
Pt4 0.297 0.500 0.405

Summary:
formation energy = -0.800 eV/atom
symmetry = No. 64



Total magnetic moment values, unit μB per formula unit, following the record order: 0.000, 0.000.
Fermi-level density of states values, unit states/eV/atom, following the record order: 0.623, 0.590.